#one
The following is a PBE calculation of a relaxed Ac2Pd3Au crystal, from Alexandria.

Properties
Fermi-level density of states, states/eV per cell: 19.62

a b c (Å): 7.9973 9.3915 16.0857
angles (deg): 90.00 90.00 90.00
Closest atoms and distances in Å follow each position.
Space group Fmmm (No. 69)
Asymmetric unit:
1 Ac 0.2480 0.0000 0.0000 x8  10 Pd 3.31-3.38, 2 Au 3.35
2 Ac 0.2500 0.2500 0.2500 x8  8 Pd 3.35-3.37, 4 Au 3.36
3 Pd 0.0000 0.0000 0.1647 x8  2 Pd 2.67, 1 Au 2.71
4 Pd 0.0000 0.2483 0.0833 x16  2 Pd 2.67-2.68, 1 Au 2.72
5 Au 0.0000 0.0000 0.3334 x8  3 Pd 2.71-2.72


#two
The following is a PBE calculation of a relaxed Ac2Pd3Au crystal, from Alexandria.

Properties
Fermi-level density of states, states/eV per cell: 4.90

a b c (Å): 4.1742 4.2102 17.4461
angles (deg): 90.00 90.00 90.00
Closest atoms and distances in Å follow each position.
Space group Imm2 (No. 44)
Asymmetric unit:
1 Ac 0.0000 0.0000 0.0000 x2  6 Pd 3.20-3.50, 4 Au 3.33
2 Ac 0.0000 0.5000 0.2394 x2  8 Pd 3.23-3.26
3 Pd 0.0000 0.0000 0.5684 x2  2 Pd 2.66, 1 Au 2.72
4 Pd 0.0000 0.5000 0.6613 x2  3 Pd 2.66
5 Pd 0.0000 0.5000 0.8135 x2  1 Pd 2.66, 2 Au 2.71
6 Au 0.0000 0.0000 0.4125 x2  3 Pd 2.71-2.72


Order of stability, best first: #one, #two